(1)
VASP calculation (SCAN) on BaSn3As at its PBEsol-relaxed geometry.

Cell lengths 5.4412, 5.4412, 5.4412 Å; angles 90.00, 90.00, 90.00 degrees
Space group Pm-3m (No. 221)
Symmetry-distinct sites (fractional):
Ba: 0.0000 0.0000 0.0000 (multiplicity 1)
Sn: 0.0000 0.5000 0.5000 (multiplicity 3)
As: 0.5000 0.5000 0.5000 (multiplicity 1)

For the calculated density, the calculation gives 5.859 Mg/m³. The calculation puts the energy of formation from the pure elements at 5 kJ/mol of formula units. As for the density of states at the Fermi level: 4.01 states/eV per cell. The total energy is -2.4615 Ry per atom. As for the total magnetization: 0.0 μB/f.u.


(2)
VASP calculation (SCAN) on Mg2RuPt at its PBEsol-relaxed geometry.

Cell lengths 3.2835, 3.2835, 5.9488 Å; angles 90.00, 90.00, 90.00 degrees
Space group P4mm (No. 99)
Symmetry-distinct sites (fractional):
Mg: 0.0000 0.0000 0.0000 (multiplicity 1)
Mg: 0.5000 0.5000 0.3001 (multiplicity 1)
Ru: 0.5000 0.5000 0.7636 (multiplicity 1)
Pt: 0.0000 0.0000 0.5334 (multiplicity 1)

For the calculated density, the calculation gives 8.926 Mg/m³. The calculation puts the energy of formation from the pure elements at -66 kJ/mol of formula units. As for the density of states at the Fermi level: 1.78 states/eV per cell. The total energy is -2.1250 Ry per atom. As for the total magnetization: 0.0 μB/f.u.


(3)
VASP calculation (SCAN) on GaTeAs2 at its PBEsol-relaxed geometry.

Cell lengths 6.8942, 6.8942, 6.8942 Å; angles 90.00, 90.00, 90.00 degrees
Space group Fm-3m (No. 225)
Symmetry-distinct sites (fractional):
Ga: 0.0000 0.0000 0.0000 (multiplicity 4)
Te: 0.0000 0.0000 0.5000 (multiplicity 4)
As: 0.2500 0.2500 0.2500 (multiplicity 8)

The raw formation energy comes out at 40.5 kJ/mol of atoms. For the calculated density, the calculation gives 7.037 Mg/m³. As for the density of states at the Fermi level: 9.41 states/eV per cell. The total energy is -1.6960 Ry per atom. As for the total magnetization: 0.0 μB/f.u.


(4)
VASP calculation (SCAN) on AgSbPt2 at its PBEsol-relaxed geometry.

Cell lengths 4.1293, 4.1293, 3.9565 Å; angles 90.00, 90.00, 90.00 degrees
Space group P4/mmm (No. 123)
Symmetry-distinct sites (fractional):
Ag: 0.0000 0.0000 0.0000 (multiplicity 1)
Sb: 0.5000 0.5000 0.0000 (multiplicity 1)
Pt: 0.0000 0.5000 0.5000 (multiplicity 2)

The raw formation energy comes out at -3.9 kJ/mol of atoms. For the calculated density, the calculation gives 15.256 Mg/m³. As for the density of states at the Fermi level: 2.63 states/eV per cell. The total energy is -3.8435 Ry per atom. As for the total magnetization: 0.0 μB/f.u.


Look up the total energy of the fourth one.
-3.8435 Ry per atom


Which formula does entry 1 have?
BaSn3As


Repeat the second record exactly.
VASP calculation (SCAN) on Mg2RuPt at its PBEsol-relaxed geometry.

Cell lengths 3.2835, 3.2835, 5.9488 Å; angles 90.00, 90.00, 90.00 degrees
Space group P4mm (No. 99)
Symmetry-distinct sites (fractional):
Mg: 0.0000 0.0000 0.0000 (multiplicity 1)
Mg: 0.5000 0.5000 0.3001 (multiplicity 1)
Ru: 0.5000 0.5000 0.7636 (multiplicity 1)
Pt: 0.0000 0.0000 0.5334 (multiplicity 1)

For the calculated density, the calculation gives 8.926 Mg/m³. The calculation puts the energy of formation from the pure elements at -66 kJ/mol of formula units. As for the density of states at the Fermi level: 1.78 states/eV per cell. The total energy is -2.1250 Ry per atom. As for the total magnetization: 0.0 μB/f.u.